A:
First-principles (PBE) data for TlOs2Ru after structural relaxation, as listed in Alexandria via LeMat-Bulk. Values from VASP.

Values from the calculation:
D(E_F) in states/eV/f.u.: 3.94
Crystal system: tetragonal
Spin magnetization in Bohr magnetons per cell: 0.0
Theoretical density in g cm⁻³: 17.63

Cell and atoms, written as Quantum ESPRESSO input:
```
&SYSTEM
  ibrav = 0, nat = 4, ntyp = 3
/
ATOMIC_SPECIES
Os 190.23 Os.upf
Ru 101.07 Ru.upf
Tl 204.38 Tl.upf
ATOMIC_POSITIONS crystal
Os 0.000 0.000 0.028
Os 0.000 0.000 0.472
Ru 0.500 0.500 0.250
Tl 0.500 0.500 0.750
CELL_PARAMETERS angstrom
2.843 0.000 0.000
0.000 2.843 0.000
0.000 0.000 7.991
```

=====

B:
First-principles (PBE) data for TlOs2Ru after structural relaxation, as listed in Alexandria via LeMat-Bulk. Values from VASP.

Values from the calculation:
D(E_F) in states/eV/f.u.: 5.92
Crystal system: orthorhombic
Spin magnetization in Bohr magnetons per cell: 0.3
Theoretical density in g cm⁻³: 16.73

Cell and atoms, written as Quantum ESPRESSO input:
```
&SYSTEM
  ibrav = 0, nat = 4, ntyp = 3
/
ATOMIC_SPECIES
Os 190.23 Os.upf
Ru 101.07 Ru.upf
Tl 204.38 Tl.upf
ATOMIC_POSITIONS crystal
Os 0.000 0.000 0.029
Os 0.000 0.000 0.471
Ru 0.500 0.500 0.250
Tl 0.500 0.500 0.750
CELL_PARAMETERS angstrom
2.804 -0.001 0.000
-1.405 2.427 0.000
0.000 0.000 10.005
```

=====

Stability, lowest: B

=====

A:
First-principles (PBE) data for Tm8Os2Ru after structural relaxation, as listed in Alexandria via LeMat-Bulk. Values from VASP.

Values from the calculation:
D(E_F) in states/eV/f.u.: 9.67
Crystal system: monoclinic
Spin magnetization in Bohr magnetons per cell: 0.0
Theoretical density in g cm⁻³: 11.53

Cell and atoms, written as Quantum ESPRESSO input:
```
&SYSTEM
  ibrav = 0, nat = 11, ntyp = 3
/
ATOMIC_SPECIES
Tm 168.93 Tm.upf
Os 190.23 Os.upf
Ru 101.07 Ru.upf
ATOMIC_POSITIONS crystal
Tm 0.402 0.539 0.805
Tm 0.668 0.962 0.336
Tm 0.796 0.688 0.591
Tm 0.970 0.205 0.940
Tm 0.204 0.312 0.409
Tm 0.332 0.038 0.664
Tm 0.598 0.461 0.195
Tm 0.030 0.795 0.060
Os 0.816 0.302 0.633
Os 0.184 0.698 0.367
Ru 0.500 0.000 0.000
CELL_PARAMETERS angstrom
4.705 0.000 0.000
0.000 6.847 0.140
-2.352 -2.767 8.142
```

=====

B:
First-principles (PBE) data for Tm8Os2Ru after structural relaxation, as listed in Alexandria via LeMat-Bulk. Values from VASP.

Values from the calculation:
D(E_F) in states/eV/f.u.: 6.25
Crystal system: monoclinic
Spin magnetization in Bohr magnetons per cell: 0.0
Theoretical density in g cm⁻³: 11.10

Cell and atoms, written as Quantum ESPRESSO input:
```
&SYSTEM
  ibrav = 0, nat = 11, ntyp = 3
/
ATOMIC_SPECIES
Tm 168.93 Tm.upf
Os 190.23 Os.upf
Ru 101.07 Ru.upf
ATOMIC_POSITIONS crystal
Tm 0.592 0.335 0.078
Tm 0.592 0.078 0.335
Tm 0.188 0.362 0.362
Tm 0.997 0.216 0.788
Tm 0.997 0.788 0.216
Tm 0.808 0.645 0.645
Tm 0.398 0.928 0.670
Tm 0.398 0.670 0.928
Os 0.500 0.694 0.315
Os 0.500 0.315 0.694
Ru 0.031 0.003 0.003
CELL_PARAMETERS angstrom
-4.877 1.790 2.165
-2.500 -4.532 -5.405
2.798 -3.721 5.859
```

=====

Stability, lowest: B

=====

A:
First-principles (PBE) data for UOsRu2 after structural relaxation, as listed in Alexandria via LeMat-Bulk. Values from VASP.

Values from the calculation:
D(E_F) in states/eV/f.u.: 2.65
Crystal system: orthorhombic
Spin magnetization in Bohr magnetons per cell: 0.0
Theoretical density in g cm⁻³: 16.27

Cell and atoms, written as Quantum ESPRESSO input:
```
&SYSTEM
  ibrav = 0, nat = 8, ntyp = 3
/
ATOMIC_SPECIES
U 238.03 U.upf
Os 190.23 Os.upf
Ru 101.07 Ru.upf
ATOMIC_POSITIONS crystal
U 0.000 0.000 0.000
U 0.500 0.500 0.500
Os 0.000 0.500 0.000
Os 0.500 0.500 0.000
Ru 0.000 0.500 0.500
Ru 0.500 0.000 0.000
Ru 0.000 0.000 0.500
Ru 0.500 0.000 0.500
CELL_PARAMETERS angstrom
-3.179 4.669 -0.235
-5.641 -0.394 0.456
-2.621 1.873 4.669
```

=====

B:
First-principles (PBE) data for UOsRu2 after structural relaxation, as listed in Alexandria via LeMat-Bulk. Values from VASP.

Values from the calculation:
D(E_F) in states/eV/f.u.: 5.40
Crystal system: tetragonal
Spin magnetization in Bohr magnetons per cell: 0.0
Theoretical density in g cm⁻³: 16.25

Cell and atoms, written as Quantum ESPRESSO input:
```
&SYSTEM
  ibrav = 0, nat = 4, ntyp = 3
/
ATOMIC_SPECIES
Os 190.23 Os.upf
U 238.03 U.upf
Ru 101.07 Ru.upf
ATOMIC_POSITIONS crystal
Os 0.500 0.000 0.000
U 0.500 0.500 0.500
Ru 0.000 0.000 0.500
Ru 0.000 0.500 0.000
CELL_PARAMETERS angstrom
-0.285 -2.700 2.919
3.860 -0.984 -0.533
1.082 2.788 2.685
```

=====

Stability, lowest: B

=====

A:
First-principles (PBE) data for VOsRu after structural relaxation, as listed in Alexandria via LeMat-Bulk. Values from VASP.

Values from the calculation:
D(E_F) in states/eV/f.u.: 4.26
Crystal system: cubic
Spin magnetization in Bohr magnetons per cell: 0.6
Theoretical density in g cm⁻³: 11.33

Cell and atoms, written as Quantum ESPRESSO input:
```
&SYSTEM
  ibrav = 0, nat = 3, ntyp = 3
/
ATOMIC_SPECIES
V 50.94 V.upf
Os 190.23 Os.upf
Ru 101.07 Ru.upf
ATOMIC_POSITIONS crystal
V 0.699 0.324 0.226
Os 0.449 0.824 0.476
Ru 0.200 0.324 0.726
CELL_PARAMETERS angstrom
4.137 -0.002 0.001
-2.069 3.589 -0.004
-0.002 -2.389 3.382
```

=====

B:
First-principles (PBE) data for VOsRu after structural relaxation, as listed in Alexandria via LeMat-Bulk. Values from VASP.

Values from the calculation:
D(E_F) in states/eV/f.u.: 3.08
Crystal system: triclinic
Spin magnetization in Bohr magnetons per cell: 0.0
Theoretical density in g cm⁻³: 13.60

Cell and atoms, written as Quantum ESPRESSO input:
```
&SYSTEM
  ibrav = 0, nat = 6, ntyp = 3
/
ATOMIC_SPECIES
V 50.94 V.upf
Os 190.23 Os.upf
Ru 101.07 Ru.upf
ATOMIC_POSITIONS crystal
V 0.095 0.399 0.254
V 0.905 0.601 0.746
Os 0.759 0.085 0.242
Os 0.241 0.915 0.758
Ru 0.418 0.741 0.253
Ru 0.582 0.259 0.747
CELL_PARAMETERS angstrom
4.681 0.044 0.287
2.248 4.109 0.277
2.105 1.275 4.539
```

=====

C:
First-principles (PBE) data for VOsRu after structural relaxation, as listed in Alexandria via LeMat-Bulk. Values from VASP.

Values from the calculation:
D(E_F) in states/eV/f.u.: 3.36
Crystal system: hexagonal
Spin magnetization in Bohr magnetons per cell: 0.0
Theoretical density in g cm⁻³: 13.64

Cell and atoms, written as Quantum ESPRESSO input:
```
&SYSTEM
  ibrav = 0, nat = 6, ntyp = 3
/
ATOMIC_SPECIES
V 50.94 V.upf
Os 190.23 Os.upf
Ru 101.07 Ru.upf
ATOMIC_POSITIONS crystal
V 0.667 0.750 0.834
V 0.333 0.250 0.166
Os 0.000 0.500 0.500
Os 0.000 0.000 0.500
Ru 0.333 0.750 0.167
Ru 0.667 0.250 0.833
CELL_PARAMETERS angstrom
-2.860 3.072 0.607
-3.851 -3.219 -1.855
0.824 -2.772 3.100
```

=====

D:
First-principles (PBE) data for VOsRu after structural relaxation, as listed in Alexandria via LeMat-Bulk. Values from VASP.

Values from the calculation:
D(E_F) in states/eV/f.u.: 3.30
Crystal system: tetragonal
Spin magnetization in Bohr magnetons per cell: 0.0
Theoretical density in g cm⁻³: 13.45

Cell and atoms, written as Quantum ESPRESSO input:
```
&SYSTEM
  ibrav = 0, nat = 3, ntyp = 3
/
ATOMIC_SPECIES
Ru 101.07 Ru.upf
Os 190.23 Os.upf
V 50.94 V.upf
ATOMIC_POSITIONS crystal
Ru 0.318 0.318 0.636
Os 0.016 0.016 0.031
V 0.666 0.666 0.333
CELL_PARAMETERS angstrom
2.976 0.000 0.000
0.000 2.976 0.000
-1.488 -1.488 4.769
```

=====

Stability, lowest: A

=====

A:
First-principles (PBE) data for V3OsRu after structural relaxation, as listed in Alexandria via LeMat-Bulk. Values from VASP.

Values from the calculation:
D(E_F) in states/eV/f.u.: 9.29
Crystal system: cubic
Spin magnetization in Bohr magnetons per cell: 1.7
Theoretical density in g cm⁻³: 7.92

Cell and atoms, written as Quantum ESPRESSO input:
```
&SYSTEM
  ibrav = 0, nat = 5, ntyp = 3
/
ATOMIC_SPECIES
Ru 101.07 Ru.upf
Os 190.23 Os.upf
V 50.94 V.upf
ATOMIC_POSITIONS crystal
Ru 0.500 0.500 0.500
Os 0.000 0.000 0.000
V 0.000 0.500 0.000
V 0.000 0.000 0.500
V 0.500 0.000 0.000
CELL_PARAMETERS angstrom
-2.775 -1.531 3.241
3.301 0.506 3.065
-1.397 4.237 0.805
```

=====

B:
First-principles (PBE) data for V3OsRu after structural relaxation, as listed in Alexandria via LeMat-Bulk. Values from VASP.

Values from the calculation:
D(E_F) in states/eV/f.u.: 4.28
Crystal system: monoclinic
Spin magnetization in Bohr magnetons per cell: 0.0
Theoretical density in g cm⁻³: 10.79

Cell and atoms, written as Quantum ESPRESSO input:
```
&SYSTEM
  ibrav = 0, nat = 10, ntyp = 3
/
ATOMIC_SPECIES
V 50.94 V.upf
Os 190.23 Os.upf
Ru 101.07 Ru.upf
ATOMIC_POSITIONS crystal
V 0.750 0.146 0.290
V 0.250 0.452 0.904
V 0.750 0.548 0.096
V 0.250 0.854 0.710
V 0.250 0.651 0.302
V 0.750 0.349 0.698
Os 0.750 0.944 0.887
Os 0.250 0.056 0.113
Ru 0.250 0.253 0.507
Ru 0.750 0.747 0.493
CELL_PARAMETERS angstrom
-1.178 3.096 2.731
-1.794 -2.895 2.509
7.390 0.635 2.467
```

=====

C:
First-principles (PBE) data for V3OsRu after structural relaxation, as listed in Alexandria via LeMat-Bulk. Values from VASP.

Values from the calculation:
D(E_F) in states/eV/f.u.: 3.94
Crystal system: triclinic
Spin magnetization in Bohr magnetons per cell: 0.0
Theoretical density in g cm⁻³: 10.84

Cell and atoms, written as Quantum ESPRESSO input:
```
&SYSTEM
  ibrav = 0, nat = 20, ntyp = 3
/
ATOMIC_SPECIES
V 50.94 V.upf
Os 190.23 Os.upf
Ru 101.07 Ru.upf
ATOMIC_POSITIONS crystal
V 0.402 0.355 0.791
V 0.098 0.145 0.709
V 0.598 0.645 0.209
V 0.902 0.855 0.291
V 0.999 0.750 0.000
V 0.597 0.147 0.206
V 0.001 0.250 0.000
V 0.403 0.853 0.794
V 0.499 0.250 0.500
V 0.097 0.647 0.706
V 0.501 0.750 0.500
V 0.903 0.353 0.294
Os 0.302 0.955 0.088
Os 0.698 0.045 0.912
Os 0.198 0.545 0.412
Os 0.802 0.455 0.588
Ru 0.697 0.542 0.914
Ru 0.803 0.958 0.586
Ru 0.303 0.458 0.086
Ru 0.197 0.042 0.414
CELL_PARAMETERS angstrom
-2.415 -6.214 0.420
5.395 -1.986 1.623
1.126 0.075 7.362
```

=====

Stability, lowest: A